DFT (PBE-GGA) results for a relaxed structure of SmBe8Zn4.

Cell lengths 6.217, 6.217, 6.217 Å; angles 97.42, 97.42, 137.88 degrees
Fractional positions:
Sm (0.000, 0.000, 0.000)
Be (0.000, 0.000, 0.500)
Be (0.000, 0.500, 0.000)
Be (0.282, 0.500, 0.782)
Be (0.500, 0.000, 0.000)
Be (0.500, 0.282, 0.782)
Be (0.500, 0.500, 0.500)
Be (0.500, 0.718, 0.218)
Be (0.718, 0.500, 0.218)
Zn (0.000, 0.347, 0.347)
Zn (0.000, 0.653, 0.653)
Zn (0.347, 0.000, 0.347)
Zn (0.653, 0.000, 0.653)

Properties
The space group is No. 139. For the energy, the calculation gives -40.3 eV/cell.

***

DFT (PBE-GGA) results for a relaxed structure of NaPmSeO.

Cell lengths 4.507, 7.516, 6.383 Å; angles 90.00, 90.00, 90.00 degrees
Fractional positions:
Na (0.000, 0.209, 0.000)
Na (0.000, 0.791, 0.500)
Pm (0.500, 0.362, 0.415)
Pm (0.500, 0.638, 0.915)
Se (0.000, 0.173, 0.548)
Se (0.000, 0.827, 0.048)
O (0.500, 0.380, 0.073)
O (0.500, 0.620, 0.573)

Properties
The space group is No. 26. For the energy, the calculation gives -45.1 eV/cell.

***

DFT (PBE-GGA) results for a relaxed structure of LaGa5CuPt.

Cell lengths 6.472, 6.472, 6.472 Å; angles 142.88, 112.36, 79.76 degrees
Fractional positions:
La (0.000, 0.000, 0.000)
Ga (0.163, 0.352, 0.811)
Ga (0.449, 0.643, 0.806)
Ga (0.487, 0.987, 0.500)
Ga (0.542, 0.352, 0.189)
Ga (0.837, 0.643, 0.194)
Cu (0.248, 0.748, 0.500)
Pt (0.737, 0.237, 0.500)

Properties
The space group is No. 44. For the energy, the calculation gives -34.0 eV/cell.

***

DFT (PBE-GGA) results for a relaxed structure of BaTlHgAu.

Cell lengths 5.447, 5.447, 5.447 Å; angles 60.00, 60.00, 60.00 degrees
Fractional positions:
Ba (0.000, 0.000, 0.000)
Tl (0.250, 0.250, 0.250)
Hg (0.500, 0.500, 0.500)
Au (0.750, 0.750, 0.750)

Properties
The space group is No. 216. For the energy, the calculation gives -9.1 eV/cell.

***

DFT (PBE-GGA) results for a relaxed structure of CuW2.

Cell lengths 4.103, 4.103, 4.103 Å; angles 60.00, 60.00, 60.00 degrees
Fractional positions:
Cu (0.000, 0.000, 0.000)
W (0.250, 0.250, 0.250)
W (0.750, 0.750, 0.750)

Properties
The space group is No. 225. As for the formation energy: 1.089 eV per atom. For the energy, the calculation gives -26.4 eV/cell.

***

DFT (PBE-GGA) results for a relaxed structure of Rb2MgHg3.

Cell lengths 6.750, 6.750, 8.605 Å; angles 128.61, 128.61, 46.46 degrees
Fractional positions:
Rb (0.000, 0.000, 0.000)
Rb (0.124, 0.124, 0.638)
Mg (0.391, 0.391, 0.234)
Hg (0.400, 0.400, 0.587)
Hg (0.705, 0.705, 0.407)
Hg (0.739, 0.739, 0.063)

Properties
The space group is No. 8. For the energy, the calculation gives -5.3 eV/cell.

***

Among the records above, which one has the highest energy?
Rb2MgHg3

***

Which of these has the lowest energy?
NaPmSeO